5
Lattice="4.447 0.000 0.000 0.000 4.885 0.000 0.000 0.000 4.885" Properties=species:S:1:pos:R:3 comment="NaHf2GaP (GGA-PBEsol, relaxed)" delta_e_f_ev_per_atom=1.503 total_magnetization_mub_per_fu=0.00 pbc="T T T"
Ga 2.224 0.000 0.000
Hf 0.000 2.443 0.000
Hf 0.000 0.000 2.443
P 2.224 2.443 2.443
Na 0.000 0.000 0.000